Entry 1:
VASP calculation (PBE) on crystalline AlIn2Ga2Pd5 at its relaxed geometry.

a b c (Å): 10.328 10.328 3.178
angles (deg): 90.00 90.00 90.00
Element x y z (fractional)
Al (0.000, 0.000, 0.000)
Al (0.500, 0.500, 0.000)
In (0.170, 0.330, 0.000)
In (0.330, 0.830, 0.000)
In (0.670, 0.170, 0.000)
In (0.830, 0.670, 0.000)
Ga (0.142, 0.642, 0.000)
Ga (0.358, 0.142, 0.000)
Ga (0.642, 0.858, 0.000)
Ga (0.858, 0.358, 0.000)
Pd (0.000, 0.500, 0.500)
Pd (0.015, 0.800, 0.500)
Pd (0.200, 0.015, 0.500)
Pd (0.300, 0.515, 0.500)
Pd (0.485, 0.300, 0.500)
Pd (0.500, 0.000, 0.500)
Pd (0.515, 0.700, 0.500)
Pd (0.700, 0.485, 0.500)
Pd (0.800, 0.985, 0.500)
Pd (0.985, 0.200, 0.500)

As for the space group: No. 127. As for the calculated formation energy: -49.21 kJ per mole of atoms.

=====

Entry 2:
VASP calculation (PBE) on crystalline AlIn2GaS4 at its relaxed geometry.

a b c (Å): 6.463 6.463 6.944
angles (deg): 122.46 122.46 81.18
Element x y z (fractional)
Al (0.000, 0.000, 0.000)
In (0.501, 0.499, 0.000)
In (0.750, 0.250, 0.500)
Ga (0.250, 0.750, 0.500)
S (0.126, 0.371, 0.095)
S (0.276, 0.032, 0.402)
S (0.629, 0.874, 0.905)
S (0.968, 0.724, 0.598)

The calculation puts the uncorrected formation energy at -0.616 eV/atom. As for the space group: No. 5.

=====

Entry 3:
VASP calculation (PBE) on crystalline AlInGaSb3 at its relaxed geometry.

a b c (Å): 10.077 10.077 10.077
angles (deg): 154.28 154.25 36.72
Element x y z (fractional)
Al (0.000, 0.000, 0.000)
In (0.670, 0.670, 0.000)
Ga (0.340, 0.340, 0.000)
Sb (0.261, 0.761, 0.500)
Sb (0.579, 0.079, 0.500)
Sb (0.920, 0.420, 0.500)

The calculation puts the uncorrected formation energy at -0.138 eV/atom. As for the space group: No. 44.